1.
## Ni2SbOs (GGA-PBE)

Data for Ni2SbOs after structural relaxation.

Cell: 2.872 3.702 5.441 Å, 90.00 90.12 90.00°
Sites, in units of the cell vectors:
Ni 0.001 0.000 0.226
Ni 0.999 0.000 0.774
Sb 0.500 0.500 0.500
Os 0.500 0.500 0.000

## Properties
ρ = 12.33 Mg/m³
Spin magnetization = 0.00 μB per formula unit
Energy relative to the elements, uncorrected = 0.297 eV per atom

---

2.
## K2InRh (GGA-PBE)

Data for K2InRh after structural relaxation.

Cell: 3.710 5.297 5.714 Å, 90.00 90.00 90.00°
Sites, in units of the cell vectors:
K 0.000 0.000 0.240
K 0.000 0.000 0.760
In 0.500 0.500 0.500
Rh 0.500 0.500 0.000

## Properties
ρ = 4.38 Mg/m³
Spin magnetization = 0.00 μB per formula unit
Formation enthalpy at 0 K = 431 meV/atom

---

3.
## CdAsPd2 (GGA-PBE)

Data for CdAsPd2 after structural relaxation.

Cell: 3.190 3.190 6.687 Å, 90.00 90.00 90.00°
Sites, in units of the cell vectors:
Cd 0.000 0.000 0.000
As 0.000 0.000 0.500
Pd 0.500 0.500 0.276
Pd 0.500 0.500 0.724

## Properties
ρ = 9.77 Mg/m³
Spin magnetization = 0.00 μB per formula unit
Formation enthalpy at 0 K = -319 meV/atom

---

4.
## BeFe2As (GGA-PBE)

Data for BeFe2As after structural relaxation.

Cell: 3.716 2.901 8.329 Å, 90.00 90.00 90.00°
Sites, in units of the cell vectors:
Be 0.000 0.000 0.000
Be 0.000 0.500 0.500
Fe 0.000 0.000 0.264
Fe 0.000 0.500 0.764
Fe 0.500 0.000 0.551
Fe 0.500 0.500 0.051
As 0.500 0.000 0.826
As 0.500 0.500 0.326

## Properties
ρ = 7.24 Mg/m³
Spin magnetization = 2.48 μB per formula unit
Formation enthalpy at 0 K = 9 meV/atom

---

5.
## Li2Dy2Si4Ni (GGA-PBE)

Data for Li2Dy2Si4Ni after structural relaxation.

Cell: 5.956 5.956 5.956 Å, 121.41 121.41 87.57°
Sites, in units of the cell vectors:
Li 0.219 0.219 0.000
Li 0.781 0.781 0.000
Dy 0.250 0.750 0.500
Dy 0.750 0.250 0.500
Si 0.218 0.218 0.436
Si 0.218 0.782 0.000
Si 0.782 0.218 0.000
Si 0.782 0.782 0.564
Ni 0.500 0.500 0.000

## Properties
ρ = 5.80 Mg/m³
Spin magnetization = 0.00 μB per formula unit
Energy relative to the elements, uncorrected = -0.501 eV per atom

---

6.
## AgTe4Os (GGA-PBE)

Data for AgTe4Os after structural relaxation.

Cell: 6.206 6.206 6.206 Å, 60.00 60.00 60.00°
Sites, in units of the cell vectors:
Ag 0.000 0.000 0.000
Te 0.376 0.376 0.376
Te 0.376 0.376 0.873
Te 0.376 0.873 0.376
Te 0.873 0.376 0.376
Os 0.750 0.750 0.750

## Properties
ρ = 7.94 Mg/m³
Spin magnetization = 3.47 μB per formula unit
Energy relative to the elements, uncorrected = 1.401 eV per atom

---

7.
## TmTlPb2I8 (GGA-PBE)

Data for TmTlPb2I8 after structural relaxation.

Cell: 7.310 9.687 7.794 Å, 90.00 91.01 90.00°
Sites, in units of the cell vectors:
Tm 0.000 0.000 0.000
Tl 0.000 0.500 0.000
Pb 0.500 0.249 0.500
Pb 0.500 0.751 0.500
I 0.233 0.000 0.678
I 0.243 0.220 0.152
I 0.243 0.780 0.152
I 0.266 0.500 0.638
I 0.734 0.500 0.362
I 0.757 0.220 0.848
I 0.757 0.780 0.848
I 0.767 0.000 0.322

## Properties
ρ = 5.43 Mg/m³
Spin magnetization = 0.00 μB per formula unit
Energy relative to the elements, uncorrected = -0.848 eV per atom

---

8.
## Mg3ZnIn2 (GGA-PBE)

Data for Mg3ZnIn2 after structural relaxation.

Cell: 3.233 3.233 12.448 Å, 90.00 90.00 90.00°
Sites, in units of the cell vectors:
Mg 0.000 0.000 0.000
Mg 0.000 0.000 0.361
Mg 0.000 0.000 0.639
Zn 0.500 0.500 0.500
In 0.500 0.500 0.179
In 0.500 0.500 0.821

## Properties
ρ = 4.70 Mg/m³
Spin magnetization = 0.00 μB per formula unit
Formation enthalpy at 0 K = -86 meV/atom

---

9.
## ZrTaTe2 (GGA-PBE)

Data for ZrTaTe2 after structural relaxation.

Cell: 4.368 4.368 9.345 Å, 90.00 90.00 90.00°
Sites, in units of the cell vectors:
Zr 0.000 0.000 0.000
Zr 0.500 0.500 0.500
Ta 0.000 0.500 0.750
Ta 0.500 0.000 0.250
Te 0.000 0.000 0.500
Te 0.000 0.500 0.250
Te 0.500 0.000 0.750
Te 0.500 0.500 0.000

## Properties
ρ = 9.82 Mg/m³
Spin magnetization = 0.00 μB per formula unit
Energy relative to the elements, uncorrected = 0.174 eV per atom

---

10.
## Hf4Zr2Sc (GGA-PBE)

Data for Hf4Zr2Sc after structural relaxation.

Cell: 7.536 7.536 7.536 Å, 109.76 109.76 108.90°
Sites, in units of the cell vectors:
Hf 0.129 0.211 0.750
Hf 0.130 0.712 0.749
Hf 0.288 0.037 0.418
Hf 0.460 0.379 0.250
Hf 0.619 0.870 0.582
Hf 0.621 0.871 0.081
Hf 0.789 0.540 0.919
Hf 0.963 0.381 0.251
Zr 0.248 0.625 0.122
Zr 0.375 0.496 0.623
Zr 0.504 0.126 0.878
Zr 0.874 0.752 0.377
Sc 0.000 0.000 0.000
Sc 0.750 0.250 0.500

## Properties
ρ = 9.49 Mg/m³
Spin magnetization = 0.00 μB per formula unit
Formation enthalpy at 0 K = 323 meV/atom

---

11.
## LaScH (GGA-PBE)

Data for LaScH after structural relaxation.

Cell: 8.303 8.303 3.566 Å, 90.00 90.00 90.00°
Sites, in units of the cell vectors:
La 0.018 0.277 0.000
La 0.277 0.982 0.500
La 0.723 0.018 0.500
La 0.982 0.723 0.000
Sc 0.285 0.552 0.500
Sc 0.448 0.285 0.000
Sc 0.552 0.715 0.000
Sc 0.715 0.448 0.500
H 0.273 0.291 0.500
H 0.291 0.727 0.000
H 0.709 0.273 0.000
H 0.727 0.709 0.500

## Properties
ρ = 4.99 Mg/m³
Spin magnetization = 0.00 μB per formula unit
E_tot = -60.9 eV for the cell shown

---

12.
## InGeCl3 (GGA-PBE)

Data for InGeCl3 after structural relaxation.

Cell: 5.281 5.281 5.281 Å, 90.00 90.00 90.00°
Sites, in units of the cell vectors:
In 0.000 0.000 0.000
Ge 0.500 0.500 0.500
Cl 0.000 0.000 0.500
Cl 0.000 0.500 0.000
Cl 0.500 0.000 0.000

## Properties
ρ = 3.31 Mg/m³
Spin magnetization = 1.28 μB per formula unit
Energy relative to the elements, uncorrected = -0.231 eV per atom

---

13.
## TbSmIn2 (GGA-PBE)

Data for TbSmIn2 after structural relaxation.

Cell: 3.803 3.803 7.603 Å, 90.00 90.00 90.00°
Sites, in units of the cell vectors:
Tb 0.000 0.000 0.000
Sm 0.000 0.000 0.500
In 0.500 0.500 0.244
In 0.500 0.500 0.756

## Properties
ρ = 8.14 Mg/m³
Spin magnetization = 0.00 μB per formula unit
Formation enthalpy at 0 K = -485 meV/atom

---

14.
## BC4 (GGA-PBE)

Data for BC4 after structural relaxation.

Cell: 4.368 4.368 6.158 Å, 112.45 112.45 34.68°
Sites, in units of the cell vectors:
B 0.136 0.136 0.046
B 0.864 0.864 0.954
C 0.074 0.074 0.760
C 0.280 0.280 0.814
C 0.293 0.293 0.570
C 0.490 0.490 0.621
C 0.510 0.510 0.379
C 0.707 0.707 0.430
C 0.720 0.720 0.186
C 0.926 0.926 0.240

## Properties
ρ = 3.19 Mg/m³
Spin magnetization = 0.00 μB per formula unit
Formation enthalpy at 0 K = 299 meV/atom

---

15.
## PmSmDy2Sb4 (GGA-PBE)

Data for PmSmDy2Sb4 after structural relaxation.

Cell: 7.676 4.436 7.679 Å, 90.00 109.48 90.00°
Sites, in units of the cell vectors:
Pm 0.000 0.000 0.000
Sm 0.000 0.500 0.500
Dy 0.500 0.000 0.500
Dy 0.500 0.500 0.000
Sb 0.256 0.000 0.751
Sb 0.257 0.500 0.253
Sb 0.743 0.500 0.747
Sb 0.744 0.000 0.249

## Properties
ρ = 7.46 Mg/m³
Spin magnetization = 0.00 μB per formula unit
Energy relative to the elements, uncorrected = -1.156 eV per atom

---

16.
## MnTeSe2 (GGA-PBE)

Data for MnTeSe2 after structural relaxation.

Cell: 3.575 5.075 11.798 Å, 90.00 90.00 90.00°
Sites, in units of the cell vectors:
Mn 0.000 0.000 0.000
Mn 0.500 0.500 0.500
Te 0.000 0.000 0.500
Te 0.500 0.500 0.000
Se 0.000 0.500 0.356
Se 0.000 0.500 0.644
Se 0.500 0.000 0.144
Se 0.500 0.000 0.856

## Properties
ρ = 5.28 Mg/m³
Spin magnetization = 3.34 μB per formula unit
Energy relative to the elements, uncorrected = -0.070 eV per atom

---

17.
## Mn2H2W (GGA-PBE)

Data for Mn2H2W after structural relaxation.

Cell: 2.866 2.866 11.098 Å, 90.00 90.00 90.00°
Sites, in units of the cell vectors:
Mn 0.000 0.000 0.156
Mn 0.000 0.000 0.844
Mn 0.500 0.500 0.344
Mn 0.500 0.500 0.656
H 0.000 0.500 0.250
H 0.000 0.500 0.750
H 0.500 0.000 0.250
H 0.500 0.000 0.750
W 0.000 0.000 0.500
W 0.500 0.500 0.000

## Properties
ρ = 10.77 Mg/m³
Spin magnetization = 3.90 μB per formula unit
E_tot = -74.9 eV for the cell shown

---

18.
## PuZnAgF6 (GGA-PBE)

Data for PuZnAgF6 after structural relaxation.

Cell: 5.953 5.953 9.563 Å, 90.00 90.00 120.00°
Sites, in units of the cell vectors:
Pu 0.333 0.667 0.250
Pu 0.667 0.333 0.750
Zn 0.333 0.667 0.750
Zn 0.667 0.333 0.250
Ag 0.000 0.000 0.000
Ag 0.000 0.000 0.500
F 0.029 0.378 0.636
F 0.029 0.651 0.864
F 0.349 0.378 0.864
F 0.349 0.971 0.636
F 0.378 0.029 0.136
F 0.378 0.349 0.364
F 0.622 0.651 0.636
F 0.622 0.971 0.864
F 0.651 0.029 0.364
F 0.651 0.622 0.136
F 0.971 0.349 0.136
F 0.971 0.622 0.364

## Properties
ρ = 6.01 Mg/m³
Spin magnetization = 5.00 μB per formula unit
Energy relative to the elements, uncorrected = -2.521 eV per atom

---

19.
## NbCoB2 (GGA-PBE)

Data for NbCoB2 after structural relaxation.

Cell: 5.976 3.154 8.207 Å, 90.00 90.00 90.00°
Sites, in units of the cell vectors:
Nb 0.136 0.250 0.132
Nb 0.364 0.750 0.632
Nb 0.636 0.250 0.368
Nb 0.864 0.750 0.868
Co 0.008 0.750 0.387
Co 0.492 0.250 0.887
Co 0.508 0.750 0.113
Co 0.992 0.250 0.613
B 0.166 0.250 0.829
B 0.232 0.250 0.423
B 0.268 0.750 0.923
B 0.334 0.750 0.329
B 0.666 0.250 0.671
B 0.732 0.250 0.077
B 0.768 0.750 0.577
B 0.834 0.750 0.171

## Properties
ρ = 7.45 Mg/m³
Spin magnetization = 0.00 μB per formula unit
Formation enthalpy at 0 K = -619 meV/atom

---

20.
## K2SiTe (GGA-PBE)

Data for K2SiTe after structural relaxation.

Cell: 8.249 8.249 8.249 Å, 90.00 90.00 90.00°
Sites, in units of the cell vectors:
K 0.250 0.250 0.250
K 0.250 0.250 0.750
K 0.250 0.750 0.250
K 0.250 0.750 0.750
K 0.750 0.250 0.250
K 0.750 0.250 0.750
K 0.750 0.750 0.250
K 0.750 0.750 0.750
Si 0.000 0.000 0.000
Si 0.000 0.500 0.500
Si 0.500 0.000 0.500
Si 0.500 0.500 0.000
Te 0.000 0.000 0.500
Te 0.000 0.500 0.000
Te 0.500 0.000 0.000
Te 0.500 0.500 0.500

## Properties
ρ = 2.77 Mg/m³
Spin magnetization = 2.00 μB per formula unit
Energy relative to the elements, uncorrected = 0.059 eV per atom

---

21.
## PaGeIr (GGA-PBE)

Data for PaGeIr after structural relaxation.

Cell: 4.378 7.208 7.511 Å, 90.00 90.00 90.00°
Sites, in units of the cell vectors:
Pa 0.000 0.232 0.000
Pa 0.000 0.768 0.000
Pa 0.500 0.268 0.500
Pa 0.500 0.732 0.500
Ge 0.000 0.000 0.338
Ge 0.000 0.000 0.662
Ge 0.500 0.500 0.162
Ge 0.500 0.500 0.838
Ir 0.000 0.500 0.316
Ir 0.000 0.500 0.684
Ir 0.500 0.000 0.184
Ir 0.500 0.000 0.816

## Properties
ρ = 13.90 Mg/m³
Spin magnetization = 0.00 μB per formula unit
Formation enthalpy at 0 K = -707 meV/atom

---

22.
## Pr7AuBr12 (GGA-PBE)

Data for Pr7AuBr12 after structural relaxation.

Cell: 9.666 9.666 9.666 Å, 108.65 108.65 108.65°
Sites, in units of the cell vectors:
Pr 0.000 0.000 0.000
Pr 0.162 0.374 0.455
Pr 0.374 0.455 0.162
Pr 0.455 0.162 0.374
Pr 0.545 0.838 0.626
Pr 0.626 0.545 0.838
Pr 0.838 0.626 0.545
Au 0.500 0.500 0.500
Br 0.019 0.339 0.107
Br 0.107 0.019 0.339
Br 0.194 0.718 0.577
Br 0.282 0.423 0.806
Br 0.339 0.107 0.019
Br 0.423 0.806 0.282
Br 0.577 0.194 0.718
Br 0.661 0.893 0.981
Br 0.718 0.577 0.194
Br 0.806 0.282 0.423
Br 0.893 0.981 0.661
Br 0.981 0.661 0.893

## Properties
ρ = 4.97 Mg/m³
Spin magnetization = 1.05 μB per formula unit
Energy relative to the elements, uncorrected = -1.602 eV per atom

---

23.
## TlZn2Cl (GGA-PBE)

Data for TlZn2Cl after structural relaxation.

Cell: 4.912 4.912 8.366 Å, 90.00 90.00 90.00°
Sites, in units of the cell vectors:
Tl 0.000 0.000 0.000
Tl 0.500 0.500 0.500
Zn 0.000 0.000 0.500
Zn 0.000 0.500 0.750
Zn 0.500 0.000 0.250
Zn 0.500 0.500 0.000
Cl 0.000 0.500 0.250
Cl 0.500 0.000 0.750

## Properties
ρ = 6.10 Mg/m³
Spin magnetization = 0.00 μB per formula unit
Energy relative to the elements, uncorrected = -0.070 eV per atom